Entry 1:
A plane-wave DFT calculation with GGA-PBE was carried out for RbGaI3 after structural relaxation.

Output
ρ in kg/m³: 3701
Energy above the lowest structure with this stoichiometry in eV per atom: 0.000
VASP energy in eV/cell: -53.31
Symmetry: P2_1/c
ΔE_f (raw) in kJ/mol of atoms: -90

Cell: 8.486 9.582 11.842 Å, 90.00 92.75 90.00°
Fractional positions:
Rb1 0.963 0.623 0.247
Rb2 0.463 0.877 0.747
Rb3 0.537 0.123 0.253
Rb4 0.037 0.377 0.753
I1 0.108 0.012 0.236
I2 0.861 0.309 0.433
I3 0.676 0.810 0.462
I4 0.639 0.809 0.067
I5 0.608 0.488 0.736
I6 0.139 0.691 0.567
I7 0.324 0.190 0.538
I8 0.361 0.191 0.933
I9 0.392 0.512 0.264
I10 0.176 0.690 0.962
I11 0.824 0.310 0.038
I12 0.892 0.988 0.764
Ga1 0.557 0.408 0.943
Ga2 0.057 0.092 0.443
Ga3 0.943 0.908 0.557
Ga4 0.443 0.592 0.057


Entry 2:
A plane-wave DFT calculation with GGA-PBE was carried out for RbGa3I8 after structural relaxation.

Output
ρ in kg/m³: 3602
VASP energy in eV/cell: -30.18
Symmetry: C2/m
ΔE_f (raw) in kJ/mol of atoms: -62

Cell: 7.617 7.617 11.207 Å, 93.88 93.88 68.73°
Fractional positions:
I1 0.273 0.758 0.726
I2 0.305 0.305 0.934
I3 0.695 0.695 0.066
I4 0.727 0.242 0.274
I5 0.261 0.261 0.543
I6 0.739 0.739 0.457
I7 0.242 0.727 0.274
I8 0.758 0.273 0.726
Rb1 0.000 0.000 0.000
Ga1 0.610 0.610 0.268
Ga2 0.000 0.000 0.500
Ga3 0.390 0.390 0.732


Entry 3:
A plane-wave DFT calculation with GGA-PBE was carried out for RbGaI2 after structural relaxation.

Output
ρ in kg/m³: 3843
Energy above the lowest structure with this stoichiometry in eV per atom: 0.014
VASP energy in eV/cell: -10.62
Symmetry: R3m
ΔE_f (raw) in kJ/mol of atoms: -85

Cell: 4.909 4.909 8.929 Å, 74.04 74.04 60.00°
Fractional positions:
I1 0.073 0.073 0.781
I2 0.260 0.260 0.220
Rb1 0.499 0.499 0.502
Ga1 0.667 0.667 0.998


Entry 4:
A plane-wave DFT calculation with GGA-PBE was carried out for RbGaI3 after structural relaxation.

Output
ρ in kg/m³: 4366
Energy above the lowest structure with this stoichiometry in eV per atom: 0.134
VASP energy in eV/cell: -12.66
Symmetry: Pm-3m
ΔE_f (raw) in kJ/mol of atoms: -77

Cell: 5.885 5.885 5.885 Å, 90.00 90.00 90.00°
Fractional positions:
I1 0.000 0.500 0.000
I2 0.500 0.000 0.000
I3 0.000 0.000 0.500
Rb1 0.500 0.500 0.500
Ga1 0.000 0.000 0.000


Entry 5:
A plane-wave DFT calculation with GGA-PBE was carried out for Rb3Ga5I12 after structural relaxation.

Output
ρ in kg/m³: 3810
VASP energy in eV/cell: -203.60
Symmetry: Ia-3d
ΔE_f (raw) in kJ/mol of atoms: -69

Cell: 16.891 16.891 16.891 Å, 109.47 109.47 109.47°
Fractional positions:
I1 0.699 0.587 0.189
I2 0.113 0.413 0.102
I3 0.010 0.398 0.811
I4 0.113 0.699 0.510
I5 0.199 0.689 0.087
I6 0.087 0.898 0.387
I7 0.587 0.887 0.398
I8 0.102 0.189 0.490
I9 0.990 0.387 0.301
I10 0.413 0.301 0.311
I11 0.301 0.413 0.811
I12 0.887 0.301 0.490
I13 0.689 0.490 0.602
I14 0.413 0.113 0.602
I15 0.811 0.913 0.301
I16 0.301 0.887 0.990
I17 0.102 0.913 0.113
I18 0.898 0.087 0.887
I19 0.189 0.087 0.699
I20 0.613 0.602 0.913
I21 0.602 0.990 0.689
I22 0.311 0.801 0.413
I23 0.010 0.613 0.699
I24 0.613 0.010 0.199
I25 0.398 0.387 0.587
I26 0.887 0.587 0.898
I27 0.801 0.490 0.387
I28 0.990 0.602 0.189
I29 0.587 0.699 0.689
I30 0.913 0.102 0.613
I31 0.311 0.510 0.398
I32 0.387 0.990 0.801
I33 0.811 0.898 0.010
I34 0.199 0.510 0.613
I35 0.913 0.811 0.801
I36 0.801 0.311 0.913
I37 0.490 0.801 0.887
I38 0.898 0.811 0.510
I39 0.602 0.613 0.413
I40 0.689 0.199 0.587
I41 0.387 0.398 0.087
I42 0.087 0.189 0.199
I43 0.490 0.689 0.102
I44 0.398 0.010 0.311
I45 0.510 0.199 0.113
I46 0.189 0.102 0.990
I47 0.510 0.311 0.898
I48 0.699 0.113 0.010
Ga1 0.000 0.500 0.000
Ga2 0.125 0.750 0.375
Ga3 0.000 0.000 0.000
Ga4 0.750 0.125 0.875
Ga5 0.375 0.125 0.750
Ga6 0.000 0.000 0.500
Ga7 0.500 0.500 0.000
Ga8 0.500 0.000 0.000
Ga9 0.625 0.750 0.875
Ga10 0.250 0.375 0.625
Ga11 0.625 0.875 0.250
Ga12 0.375 0.250 0.125
Ga13 0.875 0.250 0.625
Ga14 0.750 0.625 0.375
Ga15 0.500 0.000 0.500
Ga16 0.250 0.875 0.125
Ga17 0.500 0.500 0.500
Ga18 0.000 0.500 0.500
Ga19 0.125 0.375 0.250
Ga20 0.875 0.625 0.750
Rb1 0.875 0.125 0.250
Rb2 0.125 0.875 0.750
Rb3 0.250 0.625 0.875
Rb4 0.250 0.125 0.375
Rb5 0.875 0.750 0.125
Rb6 0.125 0.250 0.875
Rb7 0.375 0.625 0.250
Rb8 0.750 0.375 0.125
Rb9 0.375 0.750 0.625
Rb10 0.625 0.375 0.750
Rb11 0.750 0.875 0.625
Rb12 0.625 0.250 0.375


Entry 6:
A plane-wave DFT calculation with GGA-PBE was carried out for RbGaI2 after structural relaxation.

Output
ρ in kg/m³: 3840
Energy above the lowest structure with this stoichiometry in eV per atom: 0.000
VASP energy in eV/cell: -10.68
Symmetry: R-3m
ΔE_f (raw) in kJ/mol of atoms: -86

Cell: 4.994 4.994 8.681 Å, 73.28 73.28 60.00°
Fractional positions:
Rb1 0.000 0.000 0.000
Ga1 0.500 0.500 0.500
I1 0.760 0.760 0.720
I2 0.240 0.240 0.280


Entry 7:
A plane-wave DFT calculation with GGA-PBE was carried out for RbGaI2 after structural relaxation.

Output
ρ in kg/m³: 4349
Energy above the lowest structure with this stoichiometry in eV per atom: 0.080
VASP energy in eV/cell: -10.36
Symmetry: Fm-3m
ΔE_f (raw) in kJ/mol of atoms: -79

Cell: 6.044 6.044 6.044 Å, 60.00 60.00 60.00°
Fractional positions:
I1 0.250 0.250 0.250
I2 0.750 0.750 0.750
Rb1 0.500 0.500 0.500
Ga1 0.000 0.000 0.000


Entry 8:
A plane-wave DFT calculation with GGA-PBE was carried out for Rb4GaI5 after structural relaxation.

Output
ρ in kg/m³: 3491
VASP energy in eV/cell: -27.20
Symmetry: I4
ΔE_f (raw) in kJ/mol of atoms: -121

Cell: 7.425 8.989 8.989 Å, 80.18 65.61 65.61°
Fractional positions:
Rb1 0.206 0.203 0.396
Rb2 0.409 0.396 0.797
Rb3 0.805 0.797 0.604
Rb4 0.602 0.604 0.203
I1 0.911 0.379 0.809
I2 0.442 0.000 0.000
I3 0.099 0.621 0.191
I4 0.720 0.191 0.379
I5 0.290 0.809 0.621
Ga1 0.027 0.000 0.000


Entry 9:
A plane-wave DFT calculation with GGA-PBE was carried out for RbGaI2 after structural relaxation.

Output
ρ in kg/m³: 3842
Energy above the lowest structure with this stoichiometry in eV per atom: 0.013
VASP energy in eV/cell: -31.88
Symmetry: P3_221
ΔE_f (raw) in kJ/mol of atoms: -85

Cell: 4.920 4.920 25.297 Å, 90.00 90.00 60.00°
Fractional positions:
Ga1 0.995 0.000 0.667
Ga2 0.005 0.995 0.333
Ga3 0.000 0.005 0.000
I1 0.669 0.664 0.407
I2 0.664 0.667 0.740
I3 0.333 0.336 0.927
I4 0.336 0.331 0.260
I5 0.331 0.333 0.593
I6 0.667 0.669 0.073
Rb1 0.000 0.999 0.500
Rb2 0.001 0.000 0.167
Rb3 0.999 0.001 0.833


Entry 10:
A plane-wave DFT calculation with GGA-PBE was carried out for RbGaI2 after structural relaxation.

Output
ρ in kg/m³: 4359
Energy above the lowest structure with this stoichiometry in eV per atom: 0.074
VASP energy in eV/cell: -10.38
Symmetry: P4/mmm
ΔE_f (raw) in kJ/mol of atoms: -79

Cell: 4.263 4.263 8.571 Å, 90.00 90.00 90.00°
Fractional positions:
I1 0.000 0.000 0.768
I2 0.000 0.000 0.232
Rb1 0.500 0.500 0.500
Ga1 0.500 0.500 0.000


Entry 11:
A plane-wave DFT calculation with GGA-PBE was carried out for Rb6Ga3I14 after structural relaxation.

Output
ρ in kg/m³: 3664
VASP energy in eV/cell: -59.51
Symmetry: P3
ΔE_f (raw) in kJ/mol of atoms: -96

Cell: 7.176 13.499 13.499 Å, 120.00 90.00 90.00°
Fractional positions:
Rb1 0.234 0.785 0.109
Rb2 0.234 0.891 0.676
Rb3 0.759 0.444 0.990
Rb4 0.234 0.324 0.215
Rb5 0.759 0.546 0.556
Rb6 0.759 0.010 0.454
Ga1 0.348 0.333 0.667
Ga2 0.489 0.667 0.333
Ga3 0.833 0.000 0.000
I1 0.261 0.590 0.481
I2 0.988 0.333 0.667
I3 0.474 0.000 0.000
I4 0.716 0.813 0.557
I5 0.473 0.540 0.796
I6 0.473 0.204 0.744
I7 0.961 0.794 0.869
I8 0.716 0.443 0.256
I9 0.961 0.075 0.206
I10 0.961 0.131 0.925
I11 0.473 0.256 0.460
I12 0.716 0.744 0.187
I13 0.261 0.891 0.410
I14 0.261 0.519 0.109


Entry 12:
A plane-wave DFT calculation with GGA-PBE was carried out for RbGaI3 after structural relaxation.

Output
ρ in kg/m³: 2798
Energy above the lowest structure with this stoichiometry in eV per atom: 0.749
VASP energy in eV/cell: -9.58
Symmetry: Pm-3m
ΔE_f (raw) in kJ/mol of atoms: -18

Cell: 6.826 6.826 6.826 Å, 90.00 90.00 90.00°
Fractional positions:
Rb1 0.000 0.000 0.000
I1 0.000 0.000 0.500
I2 0.000 0.500 0.000
I3 0.500 0.000 0.000
Ga1 0.500 0.500 0.500